1.
EuSnF7: relaxed, PBE-GGA.

Lattice parameters (Å, degrees): 9.1862 5.7566 12.3098 90.00 117.82 90.00
Last column: nearest neighbours and their distance in Å.
Space group P2_1/c (No. 14)
Asymmetric unit:
1 Eu 0.1887 0.2423 0.2654  8 F 2.25-2.44
2 Sn 0.2735 0.7436 0.0435  6 F 1.99-2.01
3 F 0.0281 0.7420 0.9468  1 Sn 2.00
4 F 0.0299 0.5807 0.7344  2 Eu 2.25-2.28
5 F 0.2550 0.5463 0.1710  1 Sn 2.01
6 F 0.2697 0.0194 0.1411  1 Sn 2.00
7 F 0.2819 0.0463 0.4556  1 Sn 2.01
8 F 0.2913 0.5505 0.4197  1 Sn 2.00
9 F 0.4822 0.2296 0.3593  1 Sn 1.99

Summary:
Energy relative to the elements, uncorrected ... -2.945 eV/atom
V ... 15.993 A^3/atom
Energy relative to the lowest polymorph listed for this composition ... 0 meV per atom
Total moment ... 0.667 μB/atom
Electronic total energy ... -5.987 eV per atom

---

2.
Ac3BiAsN: relaxed, PBE-GGA.

Lattice parameters (Å, degrees): 9.6014 4.5487 10.1550 90.00 102.24 90.00
Last column: nearest neighbours and their distance in Å.
Space group P2_1/m (No. 11)
Asymmetric unit:
1 Ac 0.0754 0.2500 0.3436  3 As 3.07-3.17, 2 Bi 3.41
2 Ac 0.3396 0.2500 0.9815  3 N 2.42-2.58
3 Ac 0.3944 0.7500 0.6645  1 N 2.35
4 Bi 0.3151 0.7500 0.2755  6 Ac 3.41-3.80
5 As 0.1542 0.2500 0.6529  6 Ac 3.07-3.43
6 N 0.4138 0.7500 0.8991  4 Ac 2.35-2.58

Summary:
Energy relative to the elements, uncorrected ... -1.170 eV/atom
V ... 36.119 A^3/atom
Total moment ... 0.000 μB/atom
Electronic total energy ... -6.033 eV per atom

---

3.
Tl6HgSe2I3: relaxed, PBE-GGA.

Lattice parameters (Å, degrees): 8.2609 14.3070 8.2718 90.00 110.01 90.00
Last column: nearest neighbours and their distance in Å.
Space group C2/m (No. 12)
Asymmetric unit:
1 Tl 0.2035 0.0000 0.2195  2 Se 3.11, 1 I 3.30
2 Tl 0.2413 0.1849 0.7811  2 Se 3.12-3.13, 1 I 3.32, 1 Hg 3.49
3 Hg 0.0000 0.5000 0.0000  6 Tl 3.49-3.51
4 Se 0.0000 0.1659 0.0000  6 Tl 3.11-3.13
5 I 0.0000 0.0000 0.5000  6 Tl 3.30-3.63
6 I 0.0000 0.3385 0.5000  6 Tl 3.32-3.67

Summary:
Energy relative to the elements, uncorrected ... -0.416 eV/atom
V ... 38.275 A^3/atom
Total moment ... 0.000 μB/atom
Electronic total energy ... -2.592 eV per atom

---

4.
CrSe3S: relaxed, PBE-GGA.

Lattice parameters (Å, degrees): 4.7816 4.7816 4.7816 90.00 90.00 90.00
Last column: nearest neighbours and their distance in Å.
Space group Pm-3m (No. 221)
Asymmetric unit:
1 Cr 0.0000 0.0000 0.0000  12 Se 3.38
2 Se 0.0000 0.5000 0.5000  2 S 2.39
3 S 0.5000 0.5000 0.5000  6 Se 2.39

Summary:
Energy relative to the elements, uncorrected ... 1.111 eV/atom
V ... 21.865 A^3/atom
Energy relative to the lowest polymorph listed for this composition ... 628 meV per atom
Total moment ... 0.103 μB/atom
Electronic total energy ... -3.730 eV per atom

---

5.
CoSiS2: relaxed, PBE-GGA.

Lattice parameters (Å, degrees): 5.0923 5.0923 10.1763 90.00 90.00 90.00
Last column: nearest neighbours and their distance in Å.
Space group I-42d (No. 122)
Asymmetric unit:
1 Co 0.0000 0.0000 0.0000  4 S 2.18
2 Si 0.0000 0.0000 0.5000  4 S 2.23
3 S 0.2408 0.2500 0.1250  2 Co 2.18, 2 Si 2.23

Summary:
Energy relative to the elements, uncorrected ... -0.156 eV/atom
V ... 16.493 A^3/atom
Total moment ... 0.250 μB/atom
Electronic total energy ... -5.351 eV per atom

---

6.
CdPPdS2: relaxed, PBE-GGA.

Lattice parameters (Å, degrees): 4.9625 4.9625 4.4074 90.00 90.00 90.00
Last column: nearest neighbours and their distance in Å.
Space group P4/mmm (No. 123)
Asymmetric unit:
1 Cd 0.0000 0.0000 0.0000  8 S 3.32, 4 P 3.51
2 P 0.5000 0.5000 0.0000  2 Pd 2.20
3 Pd 0.5000 0.5000 0.5000  2 P 2.20
4 S 0.0000 0.5000 0.5000  2 Pd 2.48

Summary:
Energy relative to the elements, uncorrected ... 0.465 eV/atom
V ... 21.708 A^3/atom
Energy relative to the lowest polymorph listed for this composition ... 0 meV per atom
Total moment ... 0.000 μB/atom
Electronic total energy ... -3.490 eV per atom